Record 1
An optimized crystal structure of NaCaF. Source: Alexandria, functional PBE.

Calculated values
Space-group type: No. 156
Mass density in g/cm³: 1.49
Fermi-level density of states in states/eV/cell: 1.430
M_tot in μB per cell: 0.00
Energy relative to the elements, uncorrected in eV/atom: -1.759
E_tot in eV/atom: -3.490

Cell: 3.880 3.880 7.030 Å, 90.00 90.00 120.00°
Element x y z (fractional)
Na 0.000 0.000 0.005
Ca 0.667 0.333 0.475
F 0.333 0.667 0.521



Record 2
An optimized crystal structure of NaCaF. Source: Alexandria, functional PBE.

Calculated values
Space-group type: No. 129
Mass density in g/cm³: 1.76
Fermi-level density of states in states/eV/cell: 3.262
M_tot in μB per cell: 0.00
Energy relative to the elements, uncorrected in eV/atom: -1.890
E_tot in eV/atom: -3.620

Cell: 4.029 4.029 9.543 Å, 90.00 90.01 90.00°
Element x y z (fractional)
Na 0.250 0.250 0.403
Na 0.750 0.750 0.597
Ca 0.250 0.250 0.868
Ca 0.750 0.750 0.132
F 0.750 0.250 0.000
F 0.250 0.750 0.000



Record 3
An optimized crystal structure of Na5Ca3F12. Source: Alexandria, functional PBE.

Calculated values
Space-group type: No. 230
Mass density in g/cm³: 2.59
Fermi-level density of states in states/eV/cell: 77.446
M_tot in μB per cell: 4.99
Energy relative to the elements, uncorrected in eV/atom: -3.038
E_tot in eV/atom: -4.791

Cell: 11.562 11.562 11.562 Å, 109.47 109.47 109.47°
Site moments in Bohr magnetons follow the coordinates.
Element x y z (fractional)
Ca 0.750 0.375 0.125  0.00
Ca 0.875 0.750 0.125  0.00
Ca 0.375 0.750 0.625  0.00
Ca 0.250 0.125 0.375  0.00
Ca 0.875 0.125 0.250  0.00
Ca 0.375 0.625 0.250  0.00
Ca 0.625 0.375 0.750  0.00
Ca 0.125 0.875 0.750  0.00
Ca 0.750 0.875 0.625  0.00
Ca 0.625 0.250 0.375  0.00
Ca 0.125 0.250 0.875  0.00
Ca 0.250 0.625 0.875  0.00
Na 0.125 0.375 0.250  0.00
Na 0.000 0.500 0.000  0.00
Na 0.000 0.000 0.000  0.00
Na 0.375 0.250 0.125  0.00
Na 0.500 0.000 0.500  0.00
Na 0.500 0.500 0.000  0.00
Na 0.125 0.750 0.375  0.00
Na 0.750 0.125 0.875  0.00
Na 0.750 0.625 0.375  0.00
Na 0.375 0.125 0.750  0.00
Na 0.625 0.875 0.250  0.00
Na 0.500 0.500 0.500  0.00
Na 0.500 0.000 0.000  0.00
Na 0.000 0.000 0.500  0.00
Na 0.250 0.375 0.625  0.00
Na 0.250 0.875 0.125  0.00
Na 0.000 0.500 0.500  0.00
Na 0.875 0.250 0.625  0.00
Na 0.625 0.750 0.875  0.00
Na 0.875 0.625 0.750  0.00
F 0.729 0.138 0.055  0.09
F 0.326 0.555 0.417  0.09
F 0.945 0.362 0.271  0.09
F 0.555 0.229 0.138  0.09
F 0.592 0.729 0.674  0.09
F 0.945 0.583 0.174  0.09
F 0.326 0.771 0.408  0.09
F 0.083 0.908 0.138  0.09
F 0.583 0.945 0.674  0.09
F 0.729 0.592 0.174  0.09
F 0.771 0.445 0.362  0.09
F 0.826 0.917 0.055  0.09
F 0.138 0.729 0.555  0.09
F 0.362 0.417 0.092  0.09
F 0.092 0.917 0.362  0.09
F 0.408 0.138 0.583  0.09
F 0.092 0.174 0.229  0.09
F 0.445 0.674 0.083  0.09
F 0.826 0.908 0.271  0.09
F 0.138 0.408 0.083  0.09
F 0.362 0.945 0.771  0.09
F 0.583 0.638 0.408  0.09
F 0.917 0.826 0.555  0.09
F 0.771 0.326 0.908  0.09
F 0.417 0.362 0.592  0.09
F 0.083 0.174 0.445  0.09
F 0.229 0.674 0.092  0.09
F 0.174 0.092 0.729  0.09
F 0.638 0.055 0.229  0.09
F 0.862 0.592 0.917  0.09
F 0.555 0.326 0.917  0.09
F 0.592 0.862 0.417  0.09
F 0.908 0.826 0.771  0.09
F 0.908 0.083 0.638  0.09
F 0.862 0.271 0.445  0.09
F 0.174 0.083 0.945  0.09
F 0.638 0.583 0.908  0.09
F 0.417 0.055 0.326  0.09
F 0.271 0.408 0.826  0.09
F 0.229 0.555 0.638  0.09
F 0.917 0.092 0.862  0.09
F 0.674 0.229 0.592  0.09
F 0.445 0.771 0.862  0.09
F 0.055 0.417 0.826  0.09
F 0.408 0.271 0.326  0.09
F 0.055 0.638 0.729  0.09
F 0.674 0.445 0.583  0.09
F 0.271 0.862 0.945  0.09



Record 4
An optimized crystal structure of NaCa2F. Source: Alexandria, functional PBE.

Calculated values
Space-group type: No. 225
Mass density in g/cm³: 1.68
Fermi-level density of states in states/eV/cell: 2.738
M_tot in μB per cell: 0.00
Energy relative to the elements, uncorrected in eV/atom: -0.607
E_tot in eV/atom: -2.406

Cell: 5.547 5.547 5.547 Å, 60.00 60.00 60.00°
Element x y z (fractional)
Na 0.500 0.500 0.500
Ca 0.250 0.250 0.250
Ca 0.750 0.750 0.750
F 0.000 0.000 0.000



Record 5
An optimized crystal structure of NaCa4F8. Source: Alexandria, functional PBE.

Calculated values
Space-group type: No. 216
Mass density in g/cm³: 2.13
Fermi-level density of states in states/eV/cell: 2.789
M_tot in μB per cell: 0.00
Energy relative to the elements, uncorrected in eV/atom: -3.446
E_tot in eV/atom: -5.315

Cell: 7.180 7.180 7.180 Å, 60.00 60.00 60.00°
Element x y z (fractional)
Na 0.750 0.750 0.750
Ca 0.879 0.374 0.374
Ca 0.374 0.879 0.374
Ca 0.374 0.374 0.879
Ca 0.374 0.374 0.374
F 0.547 0.151 0.151
F 0.151 0.547 0.151
F 0.151 0.151 0.547
F 0.151 0.151 0.151
F 0.192 0.603 0.603
F 0.603 0.192 0.603
F 0.603 0.603 0.192
F 0.603 0.603 0.603



Record 6
An optimized crystal structure of NaCa2NbF. Source: Alexandria, functional PBE.

Calculated values
Space-group type: No. 123
Mass density in g/cm³: 2.70
Fermi-level density of states in states/eV/cell: 2.449
M_tot in μB per cell: 3.22
Energy relative to the elements, uncorrected in eV/atom: -0.319
E_tot in eV/atom: -3.772

Cell: 5.449 4.450 5.449 Å, 90.00 90.00 90.00°
Site moments in Bohr magnetons follow the coordinates.
Element x y z (fractional)
Na 0.500 0.500 0.500  -0.01
Nb 0.000 0.500 0.000  2.31
Ca 0.000 0.000 0.500  0.03
Ca 0.500 0.000 0.000  0.05
F 0.000 0.000 0.000  0.05



Record 7
An optimized crystal structure of NaCaNb2O6F. Source: Alexandria, functional PBE.

Calculated values
Space-group type: No. 74
Mass density in g/cm³: 4.08
Fermi-level density of states in states/eV/cell: 0.000
M_tot in μB per cell: 0.00
Energy relative to the elements, uncorrected in eV/atom: -2.776
E_tot in eV/atom: -7.783

Cell: 7.480 7.480 7.480 Å, 120.40 119.57 90.03°
Element x y z (fractional)
Na 0.500 0.000 0.000
Na 0.500 0.500 0.500
Ca 0.500 0.500 0.000
Ca 0.000 0.500 0.500
Nb 0.500 0.000 0.500
Nb 0.000 0.000 0.500
Nb 0.000 0.000 0.000
Nb 0.000 0.500 0.000
O 0.683 0.926 0.363
O 0.686 0.936 0.750
O 0.683 0.320 0.756
O 0.064 0.926 0.744
O 0.317 0.074 0.637
O 0.314 0.064 0.250
O 0.064 0.320 0.137
O 0.072 0.322 0.750
O 0.317 0.680 0.244
O 0.936 0.074 0.256
O 0.936 0.680 0.863
O 0.928 0.678 0.250
F 0.633 0.383 0.250
F 0.367 0.617 0.750